No. 1
! GGA-PBE KRbMnCl4, optimized geometry; values from VASP
&SYSTEM
  ibrav = 0, nat = 14, ntyp = 4
/
ATOMIC_SPECIES
K 39.10 K.upf
Rb 85.47 Rb.upf
Mn 54.94 Mn.upf
Cl 35.45 Cl.upf
CELL_PARAMETERS angstrom
7.346 0.000 0.000
0.000 7.299 0.000
-2.830 0.000 8.605
ATOMIC_POSITIONS crystal
K 0.215 0.250 0.052
K 0.785 0.750 0.948
Rb 0.273 0.250 0.567
Rb 0.727 0.750 0.433
Mn 0.232 0.750 0.808
Mn 0.768 0.250 0.192
Cl 0.015 0.503 0.754
Cl 0.015 0.997 0.754
Cl 0.419 0.750 0.071
Cl 0.424 0.750 0.643
Cl 0.576 0.250 0.357
Cl 0.581 0.250 0.929
Cl 0.985 0.003 0.246
Cl 0.985 0.497 0.246
! **Size of the total moment**: 10.000 Bohr magnetons per cell
! **E_tot**: -4.281 eV/atom
! **E_form (uncorrected)**: -1.6204 eV/atom


No. 2
! GGA-PBE KRbMn2Cl6, optimized geometry; values from VASP
&SYSTEM
  ibrav = 0, nat = 20, ntyp = 4
/
ATOMIC_SPECIES
K 39.10 K.upf
Rb 85.47 Rb.upf
Mn 54.94 Mn.upf
Cl 35.45 Cl.upf
CELL_PARAMETERS angstrom
7.061 -6.539 0.000
7.061 6.539 0.000
-1.739 0.000 7.263
ATOMIC_POSITIONS crystal
K 0.096 0.904 0.750
K 0.904 0.096 0.250
Rb 0.319 0.681 0.250
Rb 0.681 0.319 0.750
Mn 0.196 0.377 0.739
Mn 0.377 0.196 0.239
Mn 0.623 0.804 0.761
Mn 0.804 0.623 0.261
Cl 0.022 0.214 0.661
Cl 0.115 0.602 0.846
Cl 0.214 0.022 0.161
Cl 0.323 0.387 0.484
Cl 0.387 0.323 0.984
Cl 0.398 0.885 0.654
Cl 0.602 0.115 0.346
Cl 0.613 0.677 0.016
Cl 0.677 0.613 0.516
Cl 0.786 0.978 0.839
Cl 0.885 0.398 0.154
Cl 0.978 0.786 0.339
! **Size of the total moment**: 20.000 Bohr magnetons per cell
! **E_tot**: -4.603 eV/atom
! **E_form (uncorrected)**: -1.4547 eV/atom


No. 3
! GGA-PBE KRbMn2Cl8, optimized geometry; values from VASP
&SYSTEM
  ibrav = 0, nat = 12, ntyp = 4
/
ATOMIC_SPECIES
K 39.10 K.upf
Rb 85.47 Rb.upf
Mn 54.94 Mn.upf
Cl 35.45 Cl.upf
CELL_PARAMETERS angstrom
6.812 0.000 0.000
-3.406 5.900 0.000
0.000 0.000 10.270
ATOMIC_POSITIONS crystal
K 0.000 0.000 0.000
Rb 0.000 0.000 0.500
Mn 0.333 0.667 0.277
Mn 0.667 0.333 0.723
Cl 0.025 0.345 0.218
Cl 0.320 0.975 0.218
Cl 0.333 0.667 0.491
Cl 0.345 0.320 0.782
Cl 0.655 0.680 0.218
Cl 0.667 0.333 0.509
Cl 0.680 0.025 0.782
Cl 0.975 0.655 0.782
! **Size of the total moment**: 8.000 Bohr magnetons per cell
! **E_tot**: -4.176 eV/atom
! **E_form (uncorrected)**: -1.2442 eV/atom